# 1
First-principles (PBE) data for Sm2Be2SiGe after structural relaxation, as listed in OQMD.

```
6
Lattice="-3.7036 -0.7360 1.1559 2.8891 -2.5391 0.8947 1.4059 4.1088 7.1207" Properties=species:S:1:pos:R:3 pbc="T T T"
Be 0.6916 -1.9381 0.9818
Sm -0.4549 1.7350 6.3927
Si 1.3945 0.1164 4.5421
Be 0.7030 2.0544 3.5603
Ge 0.0000 0.0000 0.0000
Sm -1.1513 -0.3002 2.8657
```

Properties
space group: P-6m2
VASP energy: -5.1353 eV/atom
crystal system: hexagonal


# 2
First-principles (PBE) data for Tb2Be2SiGe after structural relaxation, as listed in OQMD.

```
6
Lattice="-0.2039 -2.2648 3.1751 2.4626 -0.9085 -2.8917 5.8046 4.4482 3.5457" Properties=species:S:1:pos:R:3 pbc="T T T"
Be 0.6849 -1.8127 1.1528
Be 2.9023 2.2241 1.7729
Ge 0.0000 0.0000 0.0000
Si 3.5872 0.4114 2.9256
Tb 5.9131 1.9647 1.7812
Tb 3.0391 -0.2377 0.0256
```

Properties
space group: P-6m2
VASP energy: -5.1271 eV/atom
crystal system: hexagonal


# 3
First-principles (PBE) data for Tm2Be2SiGe after structural relaxation, as listed in OQMD.

```
6
Lattice="-1.8246 -0.0813 3.4044 1.4741 -3.2502 -1.4797 6.8505 1.4199 3.7055" Properties=species:S:1:pos:R:3 pbc="T T T"
Ge 3.4252 0.7100 1.8528
Tm 0.9692 -0.7864 2.6928
Si 0.3745 -2.1939 0.1483
Be 0.0000 0.0000 0.0000
Tm 4.4312 -0.0689 4.5655
Be 3.7997 -1.4839 2.0011
```

Properties
space group: P-6m2
VASP energy: -5.0575 eV/atom
crystal system: hexagonal


- Which value of VASP energy does entry 1 give?
  -5.1353 eV/atom


- The lowest VASP energy belongs to which entry?
  Sm2Be2SiGe


Please write out number 3 again, unchanged.
First-principles (PBE) data for Tm2Be2SiGe after structural relaxation, as listed in OQMD.

```
6
Lattice="-1.8246 -0.0813 3.4044 1.4741 -3.2502 -1.4797 6.8505 1.4199 3.7055" Properties=species:S:1:pos:R:3 pbc="T T T"
Ge 3.4252 0.7100 1.8528
Tm 0.9692 -0.7864 2.6928
Si 0.3745 -2.1939 0.1483
Be 0.0000 0.0000 0.0000
Tm 4.4312 -0.0689 4.5655
Be 3.7997 -1.4839 2.0011
```

Properties
space group: P-6m2
VASP energy: -5.0575 eV/atom
crystal system: hexagonal


- What is the VASP energy in the third record?
  -5.0575 eV/atom